# 1
Density functional theory data (GGA+U) for a geometry-optimized BaBiWO6 structure.

The structure in POSCAR format:
```
BaBiWO6
1.0
5.692 0.000 0.000
-2.846 4.929 0.000
0.000 0.000 5.661
Ba Bi W O
1 1 1 6
Direct
0.000 0.000 0.000
0.333 0.667 0.500
0.667 0.333 0.500
0.405 0.037 0.703
0.405 0.369 0.297
0.631 0.037 0.297
0.631 0.595 0.703
0.963 0.369 0.703
0.963 0.595 0.297
```

* final energy: -60.1 eV per cell

# 2
Density functional theory data (GGA+U) for a geometry-optimized BaBi2WO8 structure.

The structure in POSCAR format:
```
BaBi2WO8
1.0
5.155 0.000 0.000
0.000 7.296 0.000
-0.169 0.000 5.160
Ba Bi W O
1 2 1 8
Direct
0.000 0.000 0.000
0.500 0.261 0.500
0.500 0.739 0.500
0.000 0.500 0.000
0.188 0.309 0.186
0.188 0.691 0.186
0.274 0.500 0.724
0.336 0.000 0.661
0.664 0.000 0.339
0.726 0.500 0.276
0.812 0.309 0.814
0.812 0.691 0.814
```

* final energy: -75.4 eV per cell